DFT (PBE+U) results for crystalline MnGaI2O at its relaxed geometry.

Geometry as POSCAR:
```
MnGaI2O
1.0
6.3931 0.0000 0.0000
0.0000 6.3931 0.0000
0.0000 0.0000 3.8745
Mn I Ga O
1 2 1 1
Cartesian
3.1965 3.1965 1.9372
3.1965 0.0000 0.0000
0.0000 3.1965 0.0000
0.0000 0.0000 0.0000
0.0000 0.0000 1.9372
```

Results
For the raw total energy, the calculation gives -19.459 eV per cell. Its energy above the most stable polymorph in this dataset is 314.9 meV per atom. Its crystal system is tetragonal. The value obtained for the total magnetization is 5.62 μB per formula unit. The density is 4.14 Mg/m³.